[1]
# CsY2TiHg

Crystalline CsY2TiHg at its relaxed geometry (PBE, the Alexandria database).

Results
* ρ: 5.0 g/cm³
* E_form: 1.612 eV per atom
* DOS(E_F): 6.5 states/eV per cell
* final energy: -2.78 eV per atom

Geometry as POSCAR:
```
CsY2TiHg
1.0
5.6609 0.0000 0.0000
0.0000 5.7543 0.0000
0.0000 0.0000 5.6609
Y Ti Cs Hg
2 1 1 1
Cartesian
0.0000 0.0000 2.8304
2.8304 0.0000 0.0000
2.8304 2.8772 2.8304
0.0000 0.0000 0.0000
0.0000 2.8772 0.0000
```



[2]
# SnRuI2

Crystalline SnRuI2 at its relaxed geometry (PBE, the Alexandria database).

Results
* polymorph energy (0 for the lowest one): 111 meV per atom
* ρ: 7.5 g/cm³
* DOS(E_F): 4.9 states/eV per cell
* E_form (uncorrected): 722 meV per atom
* final energy: -3.37 eV per atom

Geometry as POSCAR:
```
SnRuI2
1.0
0.0000 3.7498 3.7498
3.7498 0.0000 3.7498
3.7498 3.7498 0.0000
Ru I Sn
1 2 1
Cartesian
0.0000 0.0000 0.0000
5.6248 5.6248 5.6248
1.8749 1.8749 1.8749
3.7498 3.7498 3.7498
```



[3]
# BaHfTc3

Crystalline BaHfTc3 at its relaxed geometry (PBE, the Alexandria database).

Results
* polymorph energy (0 for the lowest one): 0 meV per atom
* ρ: 8.1 g/cm³
* E_form: 1.380 eV per atom
* DOS(E_F): 6.0 states/eV per cell
* final energy: -7.21 eV per atom

Geometry as POSCAR:
```
BaHfTc3
1.0
5.0102 0.0000 0.0000
0.0000 5.0102 0.0000
0.0000 0.0000 5.0102
Hf Ba Tc
1 1 3
Cartesian
0.0000 0.0000 0.0000
2.5051 2.5051 2.5051
0.0000 2.5051 0.0000
2.5051 0.0000 0.0000
0.0000 0.0000 2.5051
```



[4]
# RePd3N

Crystalline RePd3N at its relaxed geometry (PBE, the Alexandria database).

Results
* polymorph energy (0 for the lowest one): 0 meV per atom
* ρ: 12.0 g/cm³
* DOS(E_F): 7.3 states/eV per cell
* E_form (uncorrected): 885 meV per atom
* final energy: -6.39 eV per atom

Geometry as POSCAR:
```
RePd3N
1.0
4.1612 0.0000 0.0000
0.0000 4.1612 0.0000
0.0000 0.0000 4.1612
N Pd Re
1 3 1
Cartesian
0.0000 0.0000 0.0000
0.0000 0.0000 2.0806
0.0000 2.0806 0.0000
2.0806 0.0000 0.0000
2.0806 2.0806 2.0806
```



[5]
# CaNbNF2

Crystalline CaNbNF2 at its relaxed geometry (PBE, the Alexandria database).

Results
* polymorph energy (0 for the lowest one): 807 meV per atom
* ρ: 3.7 g/cm³
* DOS(E_F): 4.0 states/eV per cell
* E_form (uncorrected): -886 meV per atom
* final energy: -5.71 eV per atom

Geometry as POSCAR:
```
CaNbNF2
1.0
4.0064 0.0000 0.0000
0.0000 5.1300 0.0000
0.0000 0.0000 4.0064
N F Nb Ca
1 2 1 1
Cartesian
0.0000 2.5650 0.0000
0.0000 0.0000 2.0032
2.0032 0.0000 0.0000
2.0032 2.5650 2.0032
0.0000 0.0000 0.0000
```



[6]
# Na2TmAlTe4

Crystalline Na2TmAlTe4 at its relaxed geometry (PBE, the Alexandria database).

Results
* ρ: 5.3 g/cm³
* DOS(E_F): 1.1 states/eV per cell
* E_form (uncorrected): -902 meV per atom
* final energy: -3.83 eV per atom

Geometry as POSCAR:
```
Na2TmAlTe4
1.0
8.7493 -0.0353 -0.1960
-0.0415 8.7493 -0.1960
-4.4158 -4.4189 6.3572
Te Na Tm Al
8 4 2 2
Cartesian
4.2604 0.0901 3.0205
-2.3983 2.2174 6.1232
2.2958 2.2373 5.8470
0.0316 4.2049 2.9446
6.6905 2.0777 -0.1581
1.9962 2.0578 0.1181
0.0896 0.1499 2.8644
4.2024 4.1452 3.1007
2.1668 -2.2271 3.0805
-2.2079 -2.2094 3.1786
4.3747 -0.0176 -0.0980
4.3539 4.3569 -0.1960
-0.0207 4.3746 -0.0980
6.5207 2.1299 2.8845
4.3335 -4.4542 6.1611
2.1460 2.1475 2.9826
```



[7]
# Zr2HgOsRu

Crystalline Zr2HgOsRu at its relaxed geometry (PBE, the Alexandria database).

Results
* ρ: 9.6 g/cm³
* E_form: 0.674 eV per atom
* DOS(E_F): 5.1 states/eV per cell
* final energy: -6.91 eV per atom

Geometry as POSCAR:
```
Zr2HgOsRu
1.0
5.0088 0.0000 0.0000
0.0000 4.6596 0.0000
0.0000 0.0000 5.0088
Zr Hg Ru Os
2 1 1 1
Cartesian
0.0000 0.0000 2.5044
2.5044 0.0000 0.0000
2.5044 2.3298 2.5044
0.0000 0.0000 0.0000
0.0000 2.3298 0.0000
```



[8]
# CaPmUN3

Crystalline CaPmUN3 at its relaxed geometry (PBE, the Alexandria database).

Results
* ρ: 6.5 g/cm³
* DOS(E_F): 3.3 states/eV per cell
* E_form (uncorrected): -927 meV per atom
* final energy: -8.10 eV per atom

Geometry as POSCAR:
```
CaPmUN3
1.0
-1.5594 -1.6515 -2.9027
3.8593 -6.2557 1.4859
-7.0134 -1.8001 4.7920
N Ca U Pm
6 2 2 2
Cartesian
-4.1277 -5.9387 4.4264
-0.5858 -3.7686 -1.0512
-4.4593 -3.5782 0.9214
1.2101 -7.2069 -0.0597
-5.9236 -2.5004 3.4349
-0.2542 -6.1292 2.4538
0.9086 -4.5277 0.9179
-5.6221 -5.1796 2.4572
-0.3278 -7.8113 1.1103
-4.3857 -1.8960 2.2648
-4.1316 -7.9563 3.2363
-0.5819 -1.7510 0.1388
```